Li2As after structural relaxation, computed with PBE-GGA.

Unit cell a=9.8315 b=9.8315 c=9.8315 alpha=163.32 beta=156.57 gamma=28.90
Closest atoms and distances in Å follow each position.
Fractional positions:
As: 0.3505 0.6005 0.7500  10 Li 2.74-2.97, 2 As 2.85
Li: 0.0827 0.8327 0.2500  1 Li 2.50, 4 As 2.76
Li: 0.2139 0.9639 0.2500  3 Li 2.42-2.50
Li: 0.7861 0.0361 0.7500  3 Li 2.42-2.50
As: 0.6495 0.3995 0.2500  10 Li 2.74-2.97, 2 As 2.85
Li: 0.9173 0.1673 0.7500  1 Li 2.50, 4 As 2.76

Output
raw total energy = -0.2392 Ry/atom
ΔE_f = -0.428 eV/atom
SG = No. 74
N(E_F) = 1.73 states/eV per cell
relative energy among the computed polymorphs = 203.3 meV/atom
size of the total moment = 0.24 μB per cell